(1)
A plane-wave DFT calculation with PBE was carried out for a relaxed InCuIr2 crystal.

Properties
* ΔH_f (0 K): 0.2324 eV per atom
* SG: F-43m, No. 216
* M_tot: 1.210 Bohr magnetons per cell

Unit cell a=4.4564 b=4.4564 c=4.4564 alpha=60.00 beta=60.00 gamma=60.00
Fractional positions:
Cu  0.5000  0.5000  0.5000
In  0.7500  0.7500  0.7500
Ir  0.0000  0.0000  0.0000
Ir  0.2500  0.2500  0.2500

***

(2)
A plane-wave DFT calculation with PBE was carried out for a relaxed YTiZnRh crystal.

Properties
* ΔH_f (0 K): -0.3719 eV per atom
* SG: F-43m, No. 216
* M_tot: 0.691 Bohr magnetons per cell

Unit cell a=4.7072 b=4.7072 c=4.7072 alpha=60.00 beta=60.00 gamma=60.00
Fractional positions:
Y  0.0000  0.0000  0.0000
Zn  0.7500  0.7500  0.7500
Rh  0.2500  0.2500  0.2500
Ti  0.5000  0.5000  0.5000

***

(3)
A plane-wave DFT calculation with PBE was carried out for a relaxed LiYScCo crystal.

Properties
* ΔH_f (0 K): -0.0936 eV per atom
* SG: F-43m, No. 216
* M_tot: 0.000 Bohr magnetons per cell

Unit cell a=4.7189 b=4.7189 c=4.7189 alpha=60.00 beta=60.00 gamma=60.00
Fractional positions:
Y  0.7500  0.7500  0.7500
Sc  0.2500  0.2500  0.2500
Co  0.5000  0.5000  0.5000
Li  0.0000  0.0000  0.0000

***

(4)
A plane-wave DFT calculation with PBE was carried out for a relaxed SrTcCl2 crystal.

Properties
* SG: Immm, No. 71
* M_tot: 1.021 Bohr magnetons per cell
* distance to the lowest polymorph of the same formula: 8 meV/atom

Unit cell a=5.6797 b=5.6797 c=5.6797 alpha=140.56 beta=124.55 gamma=70.16
Fractional positions:
Sr  0.7500  0.2500  0.5000
Tc  0.2500  0.7500  0.5000
Cl  0.0839  0.0839  0.0000
Cl  0.4161  0.4161  0.0000

***

(5)
A plane-wave DFT calculation with PBE was carried out for a relaxed Ca2CN2 crystal.

Properties
* SG: Cmc2_1, No. 36
* M_tot: 0.000 Bohr magnetons per cell
* distance to the lowest polymorph of the same formula: 0 meV/atom

Unit cell a=3.9117 b=4.7921 c=11.1776 alpha=90.00 beta=100.08 gamma=90.00
Fractional positions:
Ca  0.1097  0.1900  0.2194
Ca  0.2360  0.6806  0.4719
Ca  0.7640  0.1806  0.5281
Ca  0.8903  0.6900  0.7806
C  0.5843  0.7813  0.1686
C  0.4157  0.2813  0.8314
N  0.5828  0.5347  0.1655
N  0.2055  0.1790  0.4111
N  0.7945  0.6790  0.5889
N  0.4172  0.0347  0.8345

***

(6)
A plane-wave DFT calculation with PBE was carried out for a relaxed Rb2PPb crystal.

Properties
* ΔH_f (0 K): 0.0237 eV per atom
* SG: I-42d, No. 122
* M_tot: 0.000 Bohr magnetons per cell
* distance to the lowest polymorph of the same formula: 0 meV/atom

Unit cell a=12.8472 b=12.8472 c=9.4736 alpha=47.31 beta=47.31 gamma=90.00
Fractional positions:
Pb  0.0000  0.0000  0.0000
Pb  0.7500  0.2500  0.5000
P  0.5000  0.5000  0.0000
P  0.2500  0.7500  0.5000
Rb  0.4449  0.1250  0.2500
Rb  0.3051  0.6250  0.2500
Rb  0.3750  0.5551  0.7500
Rb  0.8750  0.6949  0.7500

***

(7)
A plane-wave DFT calculation with PBE was carried out for a relaxed K2GePtF crystal.

Properties
* total energy: -3.04 eV/atom
* SG: P4/mmm, No. 123
* M_tot: 1.918 Bohr magnetons per cell

Unit cell a=6.3488 b=4.0634 c=6.3488 alpha=90.00 beta=90.00 gamma=90.00
Fractional positions:
Ge  0.5000  0.5000  0.5000
K  0.0000  0.0000  0.5000
K  0.5000  0.0000  0.0000
Pt  0.0000  0.0000  0.0000
F  0.0000  0.5000  0.0000

***

(8)
A plane-wave DFT calculation with PBE was carried out for a relaxed MnHgTe2 crystal.

Properties
* total energy: -3.96 eV/atom
* SG: Cm, No. 8
* M_tot: 3.256 Bohr magnetons per cell

Unit cell a=6.4266 b=6.4266 c=6.0944 alpha=76.26 beta=76.26 gamma=32.01
Fractional positions:
Hg  0.5257  0.5257  0.4789
Mn  0.3337  0.3337  0.3434
Te  0.9101  0.9101  0.0290
Te  0.7305  0.7305  0.6487

***

(9)
A plane-wave DFT calculation with PBE was carried out for a relaxed SrMgZn2Cu crystal.

Properties
* ΔH_f (0 K): -0.0484 eV per atom
* SG: P4/mmm, No. 123
* M_tot: 0.000 Bohr magnetons per cell
* distance to the lowest polymorph of the same formula: 109 meV/atom

Unit cell a=4.8135 b=4.8135 c=4.8907 alpha=90.00 beta=90.00 gamma=90.00
Fractional positions:
Sr  0.5000  0.5000  0.5000
Zn  0.0000  0.5000  0.0000
Zn  0.5000  0.0000  0.0000
Mg  0.0000  0.0000  0.5000
Cu  0.0000  0.0000  0.0000

***

(10)
A plane-wave DFT calculation with PBE was carried out for a relaxed ErUGa6 crystal.

Properties
* ΔH_f (0 K): -0.3856 eV per atom
* SG: P4/mmm, No. 123
* M_tot: 2.258 Bohr magnetons per cell

Unit cell a=4.2475 b=4.2475 c=8.5217 alpha=90.00 beta=90.00 gamma=90.00
Fractional positions:
Er  0.0000  0.0000  0.5000
U  0.0000  0.0000  0.0000
Ga  0.5000  0.5000  0.0000
Ga  0.5000  0.5000  0.5000
Ga  0.5000  0.0000  0.2498
Ga  0.5000  0.0000  0.7502
Ga  0.0000  0.5000  0.2498
Ga  0.0000  0.5000  0.7502

***

(11)
A plane-wave DFT calculation with PBE was carried out for a relaxed Rb2GaIrF6 crystal.

Properties
* total energy: -4.53 eV/atom
* SG: Fm-3m, No. 225
* M_tot: 0.000 Bohr magnetons per cell

Unit cell a=6.3353 b=6.3353 c=6.3351 alpha=60.00 beta=60.00 gamma=90.00
Fractional positions:
Ir  0.0000  0.0000  0.0000
Ga  0.5000  0.5000  0.0000
Rb  0.7500  0.2500  0.5000
Rb  0.2500  0.7500  0.5000
F  0.2290  0.2290  0.5420
F  0.7710  0.7710  0.4580
F  0.2290  0.2290  0.0000
F  0.7710  0.7710  0.0000
F  0.7710  0.2290  0.0000
F  0.2290  0.7710  0.0000

***

(12)
A plane-wave DFT calculation with PBE was carried out for a relaxed ErTlHg3 crystal.

Properties
* ΔH_f (0 K): -0.1750 eV per atom
* SG: C2/m, No. 12
* M_tot: 0.000 Bohr magnetons per cell
* distance to the lowest polymorph of the same formula: 0 meV/atom

Unit cell a=6.4924 b=5.0655 c=8.7522 alpha=106.82 beta=110.96 gamma=90.00
Fractional positions:
Er  0.0342  0.3912  0.7824
Er  0.9658  0.6088  0.2176
Tl  0.3120  0.2131  0.4262
Tl  0.6880  0.7869  0.5738
Hg  0.7688  0.9996  0.9993
Hg  0.2312  0.0004  0.0007
Hg  0.4420  0.5837  0.1674
Hg  0.5580  0.4163  0.8326
Hg  0.2142  0.8142  0.6284
Hg  0.7858  0.1858  0.3716